1.
# DyAgPO (PBE-GGA, optimized geometry)
# * total magnetization: 0.0 μB/f.u.
# * volume: 82 Å³/f.u.
# * total energy: -5.70 eV/atom
data_DyAgPO
_chemical_formula_sum 'Dy2 Ag2 P2 O2'
_cell_length_a 3.713
_cell_length_b 7.611
_cell_length_c 5.815
_cell_angle_alpha 90.00
_cell_angle_beta 90.00
_cell_angle_gamma 90.00
_symmetry_space_group_name_H-M 'P m c 21'
_symmetry_Int_Tables_number 26
_symmetry_space_group_name_Hall 'P 2c -2'
loop_
_atom_site_label
_atom_site_type_symbol
_atom_site_fract_x
_atom_site_fract_y
_atom_site_fract_z
_atom_site_occupancy
Dy1 Dy 0.000 0.208 0.000 1
Ag1 Ag 0.500 0.364 0.498 1
P1 P 0.000 0.159 0.500 1
O1 O 0.500 0.341 0.004 1

2.
# DyAgPbO3 (PBE-GGA, optimized geometry)
# * total magnetization: 0.0 μB/f.u.
# * volume: 102 Å³/f.u.
# * total energy: -5.23 eV/atom
data_DyAgPbO3
_chemical_formula_sum 'Dy4 Ag4 Pb4 O12'
_cell_length_a 3.223
_cell_length_b 16.722
_cell_length_c 7.587
_cell_angle_alpha 90.00
_cell_angle_beta 90.00
_cell_angle_gamma 90.00
_symmetry_space_group_name_H-M 'C m c m'
_symmetry_Int_Tables_number 63
_symmetry_space_group_name_Hall '-C 2c 2'
loop_
_atom_site_label
_atom_site_type_symbol
_atom_site_fract_x
_atom_site_fract_y
_atom_site_fract_z
_atom_site_occupancy
Dy1 Dy 0.000 0.000 0.000 1
Ag1 Ag 0.000 0.400 0.250 1
Pb1 Pb 0.000 0.317 0.750 1
O1 O 0.000 0.124 0.072 1
O2 O 0.000 0.270 0.250 1